# 1
The following is a DFT calculation (PBE) of a relaxed Ta2BeZnNi crystal.

Cell and atoms, written as POSCAR:
```
Ta2BeZnNi
1.0
4.391 0.000 0.000
0.000 4.391 0.000
0.000 0.000 3.949
Ta Be Zn Ni
2 1 1 1
direct
0.000 0.500 0.000
0.500 0.000 0.000
0.000 0.000 0.000
0.000 0.000 0.500
0.500 0.500 0.500
```

Calculated values
- ΔH_f (0 K): 0.60 eV per atom
- Total DFT energy (no corrections): -6.298 eV per atom
- Symmetry: No. 123
- Magnetization: 0.00 μB/f.u.

# 2
The following is a DFT calculation (PBE) of a relaxed TaBeZnNi crystal.

Cell and atoms, written as POSCAR:
```
TaBeZnNi
1.0
0.000 2.944 2.944
2.944 0.000 2.944
2.944 2.944 0.000
Ta Be Zn Ni
1 1 1 1
direct
0.000 0.000 0.000
0.750 0.750 0.750
0.500 0.500 0.500
0.250 0.250 0.250
```

Calculated values
- ΔH_f (0 K): -0.08 eV per atom
- Total DFT energy (no corrections): -5.736 eV per atom
- Symmetry: No. 216
- Magnetization: 0.00 μB/f.u.

# 3
The following is a DFT calculation (PBE) of a relaxed Ta2Be2ZnNi5 crystal.

Cell and atoms, written as POSCAR:
```
Ta2Be2ZnNi5
1.0
9.137 0.000 0.000
0.000 9.137 0.000
0.000 0.000 2.814
Ta Be Zn Ni
4 4 2 10
direct
0.179 0.321 0.000
0.321 0.821 0.000
0.679 0.179 0.000
0.821 0.679 0.000
0.121 0.621 0.000
0.379 0.121 0.000
0.621 0.879 0.000
0.879 0.379 0.000
0.000 0.000 0.000
0.500 0.500 0.000
0.000 0.500 0.500
0.058 0.788 0.500
0.212 0.058 0.500
0.288 0.558 0.500
0.442 0.288 0.500
0.500 0.000 0.500
0.558 0.712 0.500
0.712 0.442 0.500
0.788 0.942 0.500
0.942 0.212 0.500
```

Calculated values
- ΔH_f (0 K): -0.26 eV per atom
- Total DFT energy (no corrections): -6.391 eV per atom
- Symmetry: No. 127
- Magnetization: 0.00 μB/f.u.

# 4
The following is a DFT calculation (PBE) of a relaxed ZrTaBe2Ni crystal.

Cell and atoms, written as POSCAR:
```
ZrTaBe2Ni
1.0
4.413 0.000 0.000
0.000 4.413 0.000
0.000 0.000 4.389
Zr Ta Be Ni
1 1 2 1
direct
0.000 0.000 0.000
0.500 0.500 0.500
0.000 0.500 0.500
0.500 0.000 0.500
0.500 0.500 0.000
```

Calculated values
- ΔH_f (0 K): 0.95 eV per atom
- Total DFT energy (no corrections): -5.781 eV per atom
- Symmetry: No. 123
- Magnetization: 0.00 μB/f.u.

Q: Look up the magnetization of the third one.
A: 0.00 μB/f.u.

Q: What is the formula in the first record?
A: Ta2BeZnNi

Q: Which of these has the lowest ΔH_f (0 K)?
A: Ta2Be2ZnNi5